Entry a
First-principles (GGA-PBE) data for a relaxed structure of Al2ReTc, as listed in OQMD via LeMat-Bulk.

Cell lengths 4.3382, 4.3382, 4.3382 Å; angles 60.00, 60.00, 60.00 degrees
With the nearest neighbours (Å) after each atom.
Element x y z (fractional)
Al: 0.7500 0.7500 0.7500  4 Tc 2.66, 4 Al 2.66
Al: 0.5000 0.5000 0.5000  4 Re 2.66, 4 Al 2.66
Tc: 0.0000 0.0000 0.0000  4 Al 2.66, 4 Re 2.66
Re: 0.2500 0.2500 0.2500  4 Al 2.66, 4 Tc 2.66

Properties
- total magnetization (Bohr magnetons per cell) = 0.025

---

Entry b
First-principles (GGA-PBE) data for a relaxed structure of Al2ReTc, as listed in OQMD via LeMat-Bulk.

Cell lengths 3.0929, 3.0929, 5.9888 Å; angles 90.00, 90.00, 90.00 degrees
With the nearest neighbours (Å) after each atom.
Element x y z (fractional)
Al: 0.5000 0.5000 0.6293  4 Re 2.61, 4 Al 2.69
Re: 0.0000 0.0000 0.8679  4 Al 2.61, 4 Tc 2.71
Al: 0.0000 0.0000 0.3685  4 Tc 2.60, 4 Al 2.69
Tc: 0.5000 0.5000 0.1344  4 Al 2.60, 4 Re 2.71

Properties
- total magnetization (Bohr magnetons per cell) = 0.001

---

Which one is most stable, and which one is least stable? entry b is the most stable of them, while entry a is the least stable.

---

Entry a
First-principles (GGA-PBE) data for a relaxed structure of Sr2AlTcS6, as listed in OQMD via LeMat-Bulk.

Cell lengths 6.8669, 6.8669, 6.8669 Å; angles 125.06, 125.06, 81.45 degrees
With the nearest neighbours (Å) after each atom.
Element x y z (fractional)
S: 0.6729 0.8340 0.5069  1 Al 2.32, 1 Tc 2.38
S: 0.7411 0.7411 0.0000  1 Tc 2.51, 1 Al 2.70
S: 0.2589 0.2589 0.0000  1 Tc 2.51, 1 Al 2.70
Tc: 0.5000 0.5000 0.0000  6 S 2.38-2.51
S: 0.1660 0.6729 0.8389  1 Al 2.32, 1 Tc 2.38
S: 0.3271 0.1660 0.4931  1 Al 2.32, 1 Tc 2.38
Al: 0.0000 0.0000 0.0000  4 S 2.32
S: 0.8340 0.3271 0.1611  1 Al 2.32, 1 Tc 2.38
Sr: 0.2500 0.7500 0.5000  8 S 3.01-3.17
Sr: 0.7500 0.2500 0.5000  8 S 3.01-3.17

Properties
- total magnetization (Bohr magnetons per cell) = 2.011

---

Entry b
First-principles (GGA-PBE) data for a relaxed structure of Sr2AlTcS6, as listed in OQMD via LeMat-Bulk.

Cell lengths 6.4498, 6.5658, 6.5993 Å; angles 62.20, 63.75, 62.97 degrees
With the nearest neighbours (Å) after each atom.
Element x y z (fractional)
S: 0.1751 0.8202 0.7200  1 Al 2.41, 1 Tc 2.42
S: 0.2397 0.3131 0.6841  1 Tc 2.43, 1 Al 2.46
Al: 0.0000 0.5000 0.0000  6 S 2.39-2.46
Tc: 0.5000 0.0000 0.5000  6 S 2.42-2.43
S: 0.6649 0.7453 0.8352  1 Al 2.39, 1 Tc 2.42
S: 0.8249 0.1798 0.2800  1 Al 2.41, 1 Tc 2.42
Sr: 0.7525 0.2527 0.7412  5 S 2.90-3.18
Sr: 0.2475 0.7473 0.2588  5 S 2.90-3.18
S: 0.3351 0.2547 0.1648  1 Al 2.39, 1 Tc 2.42
S: 0.7603 0.6869 0.3159  1 Tc 2.43, 1 Al 2.46

Properties
- total magnetization (Bohr magnetons per cell) = 2.004

---

Entry c
First-principles (GGA-PBE) data for a relaxed structure of Sr2AlTcS6, as listed in OQMD via LeMat-Bulk.

Cell lengths 6.6936, 6.6936, 6.6936 Å; angles 120.01, 120.01, 89.98 degrees
With the nearest neighbours (Å) after each atom.
Element x y z (fractional)
S: 0.7514 0.7514 0.0000  1 Al 2.35, 1 Tc 2.38
Tc: 0.5000 0.5000 0.0000  6 S 2.38
S: 0.7513 0.2487 0.0000  1 Al 2.35, 1 Tc 2.38
S: 0.2487 0.7513 0.0000  1 Al 2.35, 1 Tc 2.38
Sr: 0.7500 0.2500 0.5000  12 S 3.35
Al: 0.0000 0.0000 0.0000  6 S 2.35
S: 0.7513 0.7513 0.5027  1 Al 2.35, 1 Tc 2.38
Sr: 0.2500 0.7500 0.5000  12 S 3.35
S: 0.2486 0.2486 0.0000  1 Al 2.35, 1 Tc 2.38
S: 0.2487 0.2487 0.4973  1 Al 2.35, 1 Tc 2.38

Properties
- total magnetization (Bohr magnetons per cell) = 1.961

---

Which one is most stable, and which one is least stable? entry a is the most stable of them, while entry c is the least stable.

---

Entry a
First-principles (GGA-PBE) data for a relaxed structure of TaAlSb, as listed in OQMD via LeMat-Bulk.

Cell lengths 4.6164, 4.6164, 4.6164 Å; angles 60.00, 60.00, 60.00 degrees
With the nearest neighbours (Å) after each atom.
Element x y z (fractional)
Ta: 0.0000 0.0000 0.0000  4 Sb 2.83, 4 Al 2.83
Al: 0.2500 0.2500 0.2500  4 Ta 2.83
Sb: 0.7500 0.7500 0.7500  4 Ta 2.83

Properties
- total magnetization (Bohr magnetons per cell) = 0.008

---

Entry b
First-principles (GGA-PBE) data for a relaxed structure of TaAlSb, as listed in OQMD via LeMat-Bulk.

Cell lengths 4.6165, 4.6165, 4.6165 Å; angles 60.00, 60.00, 60.00 degrees
With the nearest neighbours (Å) after each atom.
Element x y z (fractional)
Sb: 0.0000 0.0000 0.0000  4 Al 2.83, 4 Ta 2.83
Al: 0.2500 0.2500 0.2500  4 Sb 2.83
Ta: 0.7500 0.7500 0.7500  4 Sb 2.83

Properties
- total magnetization (Bohr magnetons per cell) = 0.957

---

Which one is most stable, and which one is least stable? entry a is the most stable of them, while entry b is the least stable.